! CeSmRh GGA-PBE optimized geometry; values from VASP
&SYSTEM
  ibrav = 0, nat = 3, ntyp = 3
/
ATOMIC_SPECIES
Sm 150.36 Sm.upf
Rh 102.91 Rh.upf
Ce 140.12 Ce.upf
CELL_PARAMETERS angstrom
4.881 0.000 0.000
2.441 4.227 0.000
2.441 1.409 3.986
ATOMIC_POSITIONS crystal
Sm 0.000 0.000 0.000
Rh 0.250 0.250 0.250
Ce 0.500 0.500 0.500
! Mass density: 7.9 g/cm³
! Size of the total moment: 1.2 Bohr magnetons per cell
! Fermi-level density of states: 8.27 states/eV/cell
! E above lowest polymorph: 125 meV/atom
! Energy of formation from the pure elements: -1.1 eV per formula unit
! Total DFT energy (no corrections): -6.382 eV/atom

! AcFeSi2 GGA-PBE optimized geometry; values from VASP
&SYSTEM
  ibrav = 0, nat = 4, ntyp = 3
/
ATOMIC_SPECIES
Si 28.09 Si.upf
Fe 55.84 Fe.upf
Ac 227.00 Ac.upf
CELL_PARAMETERS angstrom
-1.224 0.948 -3.668
2.063 -1.243 -3.171
-2.825 -4.795 -2.458
ATOMIC_POSITIONS crystal
Si 0.700 0.700 0.899
Si 0.300 0.300 0.101
Fe 0.000 0.000 0.000
Ac 0.500 0.500 0.500
! Mass density: 7.3 g/cm³
! Size of the total moment: 0.0 Bohr magnetons per cell
! Fermi-level density of states: 3.52 states/eV/cell
! E above lowest polymorph: 0 meV/atom
! Formation energy from raw total energies: -2.071 eV/f.u.
! Total DFT energy (no corrections): -6.372 eV/atom

! U4Pt GGA-PBE optimized geometry; values from VASP
&SYSTEM
  ibrav = 0, nat = 5, ntyp = 2
/
ATOMIC_SPECIES
U 238.03 U.upf
Pt 195.08 Pt.upf
CELL_PARAMETERS angstrom
5.405 0.000 0.000
0.000 5.405 0.000
0.000 0.000 5.405
ATOMIC_POSITIONS crystal
U 0.000 0.000 0.000
U 0.500 0.500 0.000
U 0.000 0.500 0.500
U 0.500 0.000 0.500
Pt 0.500 0.500 0.500
! Mass density: 12.1 g/cm³
! Size of the total moment: 14.3 Bohr magnetons per cell
! Fermi-level density of states: 31.30 states/eV/cell
! Energy of formation from the pure elements: 5.2 eV per formula unit
! Total DFT energy (no corrections): -9.208 eV/atom

! ZrNb2Sn GGA-PBE optimized geometry; values from VASP
&SYSTEM
  ibrav = 0, nat = 8, ntyp = 3
/
ATOMIC_SPECIES
Nb 92.91 Nb.upf
Sn 118.71 Sn.upf
Zr 91.22 Zr.upf
CELL_PARAMETERS angstrom
-1.877 2.663 -1.729
-2.415 -3.011 -2.015
-5.573 1.765 8.772
ATOMIC_POSITIONS crystal
Nb 0.250 0.558 0.117
Nb 0.250 0.945 0.891
Nb 0.750 0.442 0.883
Nb 0.750 0.055 0.109
Sn 0.750 0.837 0.676
Sn 0.250 0.163 0.324
Zr 0.750 0.695 0.389
Zr 0.250 0.305 0.611
! Mass density: 7.9 g/cm³
! Size of the total moment: 0.0 Bohr magnetons per cell
! Fermi-level density of states: 8.17 states/eV/cell
! Energy of formation from the pure elements: -1.0 eV per formula unit
! Total DFT energy (no corrections): -8.433 eV/atom

! NdCd2Bi2 GGA-PBE optimized geometry; values from VASP
&SYSTEM
  ibrav = 0, nat = 10, ntyp = 3
/
ATOMIC_SPECIES
Cd 112.41 Cd.upf
Nd 144.24 Nd.upf
Bi 208.98 Bi.upf
CELL_PARAMETERS angstrom
-3.593 -2.729 0.967
1.613 -3.168 -2.946
8.619 -4.180 9.215
ATOMIC_POSITIONS crystal
Cd 0.462 0.750 0.923
Cd 0.041 0.750 0.083
Cd 0.538 0.250 0.077
Cd 0.959 0.250 0.917
Nd 0.651 0.750 0.301
Nd 0.349 0.250 0.699
Bi 0.130 0.250 0.261
Bi 0.250 0.750 0.500
Bi 0.870 0.750 0.739
Bi 0.750 0.250 0.500
! Mass density: 9.4 g/cm³
! Size of the total moment: 0.0 Bohr magnetons per cell
! Fermi-level density of states: 3.10 states/eV/cell
! Energy of formation from the pure elements: -1.9 eV per formula unit
! Total DFT energy (no corrections): -3.243 eV/atom

! HfSiTcOs GGA-PBE optimized geometry; values from VASP
&SYSTEM
  ibrav = 0, nat = 4, ntyp = 4
/
ATOMIC_SPECIES
Si 28.09 Si.upf
Hf 178.49 Hf.upf
Os 190.23 Os.upf
Tc 98.00 Tc.upf
CELL_PARAMETERS angstrom
-2.683 0.064 3.497
1.025 -2.318 3.607
1.231 2.085 3.684
ATOMIC_POSITIONS crystal
Si 0.750 0.750 0.750
Hf 0.250 0.250 0.250
Os 0.500 0.500 0.500
Tc 0.000 0.000 0.000
! Mass density: 13.6 g/cm³
! Size of the total moment: 0.0 Bohr magnetons per cell
! Fermi-level density of states: 2.81 states/eV/cell
! Formation energy from raw total energies: -1.827 eV/f.u.
! Total DFT energy (no corrections): -9.700 eV/atom

! LaPrTlPb GGA-PBE optimized geometry; values from VASP
&SYSTEM
  ibrav = 0, nat = 4, ntyp = 4
/
ATOMIC_SPECIES
Pr 140.91 Pr.upf
Pb 207.20 Pb.upf
Tl 204.38 Tl.upf
La 138.91 La.upf
CELL_PARAMETERS angstrom
-5.317 -1.664 -0.728
-2.118 -4.113 3.188
-3.871 1.177 3.898
ATOMIC_POSITIONS crystal
Pr 0.250 0.250 0.250
Pb 0.500 0.500 0.500
Tl 0.000 0.000 0.000
La 0.750 0.750 0.750
! Mass density: 9.2 g/cm³
! Size of the total moment: 0.0 Bohr magnetons per cell
! Fermi-level density of states: 2.32 states/eV/cell
! Energy of formation from the pure elements: -1.9 eV per formula unit
! Total DFT energy (no corrections): -4.409 eV/atom

! Na3TlSe GGA-PBE optimized geometry; values from VASP
&SYSTEM
  ibrav = 0, nat = 5, ntyp = 3
/
ATOMIC_SPECIES
Se 78.96 Se.upf
Tl 204.38 Tl.upf
Na 22.99 Na.upf
CELL_PARAMETERS angstrom
5.693 0.000 0.000
0.000 5.693 0.000
0.000 0.000 5.693
ATOMIC_POSITIONS crystal
Se 0.500 0.500 0.500
Tl 0.000 0.000 0.000
Na 0.000 0.500 0.000
Na 0.000 0.000 0.500
Na 0.500 0.000 0.000
! Mass density: 3.2 g/cm³
! Size of the total moment: 0.0 Bohr magnetons per cell
! Fermi-level density of states: 4.85 states/eV/cell
! E above lowest polymorph: 597 meV/atom
! Formation energy from raw total energies: 0.859 eV/f.u.
! Total DFT energy (no corrections): -1.790 eV/atom

! SmBiRh2 GGA-PBE optimized geometry; values from VASP
&SYSTEM
  ibrav = 0, nat = 16, ntyp = 3
/
ATOMIC_SPECIES
Sm 150.36 Sm.upf
Rh 102.91 Rh.upf
Bi 208.98 Bi.upf
CELL_PARAMETERS angstrom
5.979 0.000 -0.164
0.000 7.445 0.000
-0.226 0.000 7.905
ATOMIC_POSITIONS crystal
Sm 0.743 0.577 0.852
Sm 0.257 0.423 0.148
Sm 0.757 0.077 0.148
Sm 0.243 0.923 0.852
Rh 0.993 0.218 0.457
Rh 0.012 0.750 0.135
Rh 0.493 0.282 0.457
Rh 0.512 0.750 0.135
Rh 0.488 0.250 0.865
Rh 0.007 0.782 0.543
Rh 0.988 0.250 0.865
Rh 0.507 0.718 0.543
Bi 0.220 0.472 0.656
Bi 0.720 0.028 0.656
Bi 0.280 0.972 0.344
Bi 0.780 0.528 0.344
! Mass density: 10.7 g/cm³
! Size of the total moment: 0.0 Bohr magnetons per cell
! Fermi-level density of states: 7.43 states/eV/cell
! Energy of formation from the pure elements: -1.9 eV per formula unit
! Total DFT energy (no corrections): -6.297 eV/atom

! La2SmErH GGA-PBE optimized geometry; values from VASP
&SYSTEM
  ibrav = 0, nat = 5, ntyp = 4
/
ATOMIC_SPECIES
Er 167.26 Er.upf
H 1.01 H.upf
La 138.91 La.upf
Sm 150.36 Sm.upf
CELL_PARAMETERS angstrom
-0.975 -1.225 -4.807
-1.125 -4.869 1.468
-4.985 1.353 0.666
ATOMIC_POSITIONS crystal
Er 0.500 0.000 0.000
H 0.000 0.000 0.000
La 0.000 0.500 0.000
La 0.000 0.000 0.500
Sm 0.500 0.500 0.500
! Mass density: 7.2 g/cm³
! Size of the total moment: 0.0 Bohr magnetons per cell
! Fermi-level density of states: 4.00 states/eV/cell
! Total DFT energy (no corrections): -4.669 eV/atom

! PuTaTe GGA-PBE optimized geometry; values from VASP
&SYSTEM
  ibrav = 0, nat = 6, ntyp = 3
/
ATOMIC_SPECIES
Te 127.60 Te.upf
Pu 244.00 Pu.upf
Ta 180.95 Ta.upf
CELL_PARAMETERS angstrom
3.505 0.000 0.000
-1.753 3.037 0.000
0.000 0.000 13.685
ATOMIC_POSITIONS crystal
Te 0.611 0.223 0.360
Te 0.611 0.223 0.640
Pu 0.278 0.555 0.828
Pu 0.278 0.555 0.172
Ta 0.278 0.556 0.500
Ta 0.610 0.221 0.000
! Mass density: 12.6 g/cm³
! Size of the total moment: 11.2 Bohr magnetons per cell
! Fermi-level density of states: 17.36 states/eV/cell
! Formation energy from raw total energies: 0.058 eV/f.u.
! Total DFT energy (no corrections): -9.756 eV/atom

! SiP2Rh GGA-PBE optimized geometry; values from VASP
&SYSTEM
  ibrav = 0, nat = 4, ntyp = 3
/
ATOMIC_SPECIES
P 30.97 P.upf
Si 28.09 Si.upf
Rh 102.91 Rh.upf
CELL_PARAMETERS angstrom
-2.128 2.303 1.522
-0.831 -3.105 3.536
2.667 -0.180 4.000
ATOMIC_POSITIONS crystal
P 0.500 0.327 0.328
P 0.000 0.927 0.926
Si 0.500 0.738 0.742
Rh 0.000 0.508 0.504
! Mass density: 4.8 g/cm³
! Size of the total moment: 0.0 Bohr magnetons per cell
! Fermi-level density of states: 2.04 states/eV/cell
! Formation energy from raw total energies: -0.643 eV/f.u.
! Total DFT energy (no corrections): -6.059 eV/atom